Material: Y2CoHRh
Method: DFT, GGA-PBE
State: optimized geometry

abc: 4.8704 4.8704 3.5144
angles: 90.00 90.00 90.00
Last column: magnetic moment on the atom in μB.
Fractional positions:
Y: 0.0000 0.5000 0.0000  -0.12
Y: 0.5000 0.0000 0.0000  -0.12
Co: 0.5000 0.5000 0.5000  0.97
Rh: 0.0000 0.0000 0.5000  0.09
H: 0.0000 0.0000 0.0000  0.00

For the magnetization, the calculation gives 0.6 μB per cell. The calculation puts the density of states at the Fermi level at 1.63 states/eV/f.u. The value obtained for the energy relative to the lowest polymorph listed for this composition is 75 meV/atom.